Entry from Alexandria via LeMat-Bulk: crystalline AcGeSe2 at its relaxed geometry (PBE-GGA).

Summary:
size of the total moment	0.00	μB per atom
ΔE_f (raw)	-1.00	eV per atom
SG	P3_221
relative energy among the computed polymorphs	0	meV/atom
total energy	-4.93	eV per atom

a = 4.7770 Å, b = 4.7770 Å, c = 18.9629 Å
α = 90.00°, β = 90.00°, γ = 60.00°
Closest atoms and distances in Å follow each position.
Element x y z (fractional)
Ac1 0.0640 0.0000 0.1667  6 Se 3.14-3.27, 2 Ge 3.28
Ac2 0.9360 0.0640 0.8333  6 Se 3.14-3.27, 2 Ge 3.28
Ac3 0.0000 0.9360 0.5000  6 Se 3.14-3.27, 2 Ge 3.28
Ge1 0.0000 0.2098 0.0000  2 Se 2.53
Ge2 0.2098 0.7902 0.3333  2 Se 2.53
Ge3 0.7902 0.0000 0.6667  2 Se 2.53
Se1 0.2830 0.4058 0.9179  1 Ge 2.53
Se2 0.3112 0.2830 0.5845  1 Ge 2.53
Se3 0.4057 0.3112 0.2512  1 Ge 2.53
Se4 0.6888 0.5942 0.4155  1 Ge 2.53
Se5 0.7170 0.6888 0.0821  1 Ge 2.53
Se6 0.5943 0.7169 0.7488  1 Ge 2.53